A plane-wave DFT calculation with SCAN was carried out for a crystal of CsIn3Rh relaxed with PBEsol.

a = 5.1945 Å, b = 5.1945 Å, c = 5.1945 Å
α = 90.00°, β = 90.00°, γ = 90.00°
With the nearest neighbours (Å) after each atom.
Positions (direct):
Cs: 0.0000 0.0000 0.0000  12 In 3.67
In: 0.0000 0.5000 0.5000  2 Rh 2.60
In: 0.5000 0.0000 0.5000  2 Rh 2.60
In: 0.5000 0.5000 0.0000  2 Rh 2.60
Rh: 0.5000 0.5000 0.5000  6 In 2.60

**Calculated formation energy**: -285 meV/atom
**Size of the total moment**: 0.00 μB per formula unit

A plane-wave DFT calculation with SCAN was carried out for a crystal of CsInRhS2 relaxed with PBEsol.

a = 4.8077 Å, b = 4.8077 Å, c = 5.3104 Å
α = 90.00°, β = 90.00°, γ = 90.00°
With the nearest neighbours (Å) after each atom.
Positions (direct):
Cs: 0.0000 0.0000 0.0000  2 Rh 2.66
In: 0.5000 0.5000 0.0000  4 Cs 3.40, 8 S 3.58
Rh: 0.0000 0.0000 0.5000  4 S 2.40, 2 Cs 2.66
S: 0.0000 0.5000 0.5000  2 Rh 2.40
S: 0.5000 0.0000 0.5000  2 Rh 2.40

**E_form (uncorrected)**: 0.092 eV per atom
**Size of the total moment**: 0.76 μB per formula unit

A plane-wave DFT calculation with SCAN was carried out for a crystal of CsInSb2Rh relaxed with PBEsol.

a = 6.0766 Å, b = 6.0766 Å, c = 4.9204 Å
α = 90.00°, β = 90.00°, γ = 90.00°
With the nearest neighbours (Å) after each atom.
Positions (direct):
Cs: 0.0000 0.0000 0.0000  2 Rh 2.46
In: 0.5000 0.5000 0.5000  8 Sb 3.91, 4 Rh 4.30
Sb: 0.0000 0.5000 0.0000  2 Cs 3.04
Sb: 0.5000 0.0000 0.0000  2 Cs 3.04
Rh: 0.0000 0.0000 0.5000  2 Cs 2.46

**E_form (uncorrected)**: 1.703 eV per atom
**Size of the total moment**: 0.00 μB per formula unit

A plane-wave DFT calculation with SCAN was carried out for a crystal of CsInRhSe2 relaxed with PBEsol.

a = 5.3710 Å, b = 5.3710 Å, c = 5.0811 Å
α = 90.00°, β = 90.00°, γ = 90.00°
With the nearest neighbours (Å) after each atom.
Positions (direct):
Cs: 0.0000 0.0000 0.0000  8 Se 3.70, 4 Rh 3.80
In: 0.5000 0.5000 0.5000  2 Rh 2.54, 4 Se 2.69
Rh: 0.5000 0.5000 0.0000  2 In 2.54
Se: 0.0000 0.5000 0.5000  2 In 2.69
Se: 0.5000 0.0000 0.5000  2 In 2.69

**E_form (uncorrected)**: 0.053 eV per atom
**Size of the total moment**: 1.17 μB per formula unit

A plane-wave DFT calculation with SCAN was carried out for a crystal of CsIn3Ru relaxed with PBEsol.

a = 5.2140 Å, b = 5.2140 Å, c = 5.2140 Å
α = 90.00°, β = 90.00°, γ = 90.00°
With the nearest neighbours (Å) after each atom.
Positions (direct):
Cs: 0.0000 0.0000 0.0000  12 In 3.69
In: 0.0000 0.5000 0.5000  2 Ru 2.61
In: 0.5000 0.0000 0.5000  2 Ru 2.61
In: 0.5000 0.5000 0.0000  2 Ru 2.61
Ru: 0.5000 0.5000 0.5000  6 In 2.61

**Calculated formation energy**: -221 meV/atom
**Size of the total moment**: 0.00 μB per formula unit

A plane-wave DFT calculation with SCAN was carried out for a crystal of CsInS2 relaxed with PBEsol.

a = 7.0527 Å, b = 7.0527 Å, c = 6.4872 Å
α = 107.16°, β = 107.16°, γ = 106.62°
With the nearest neighbours (Å) after each atom.
Positions (direct):
Cs: 0.1342 0.8658 0.7500  6 S 3.54-3.63
Cs: 0.8658 0.1342 0.2500  6 S 3.54-3.63
In: 0.4879 0.5121 0.2500  4 S 2.47-2.49
In: 0.5121 0.4879 0.7500  4 S 2.47-2.49
S: 0.2004 0.4225 0.8658  2 In 2.47-2.49
S: 0.4225 0.2004 0.3658  2 In 2.47-2.49
S: 0.5775 0.7996 0.6342  2 In 2.47-2.49
S: 0.7996 0.5775 0.1342  2 In 2.47-2.49

**E_form (uncorrected)**: -1.092 eV per atom
**Size of the total moment**: 0.00 μB per formula unit